No. 1
First-principles (PBE) data for a geometry-optimized VCr2CuH structure, as listed in Alexandria via LeMat-Bulk.

Values from the calculation:
The total magnetic moment comes out at 0.00 μB/cell. The final energy is -35.2 eV per formula unit.

a b c (Å): 3.669 3.669 3.755
angles (deg): 90.00 90.00 90.00
Fractional coordinates of all 5 atoms:
1 Cr 0.000 0.500 0.000
2 Cr 0.500 0.000 0.000
3 H 0.000 0.000 0.000
4 Cu 0.500 0.500 0.500
5 V 0.000 0.000 0.500



No. 2
First-principles (PBE) data for a geometry-optimized ZrCrCu2H structure, as listed in Alexandria via LeMat-Bulk.

Values from the calculation:
The total magnetic moment comes out at 0.16 μB/cell. The final energy is -23.7 eV per formula unit.

a b c (Å): 4.852 3.396 4.852
angles (deg): 90.00 90.00 90.00
Site moments in Bohr magnetons follow the coordinates.
Fractional coordinates of all 5 atoms:
1 Cr 0.500 0.500 0.500  -0.22
2 Cu 0.000 0.000 0.500  0.01
3 Cu 0.500 0.000 0.000  0.03
4 Zr 0.000 0.000 0.000  0.03
5 H 0.000 0.500 0.000  -0.01